VASP calculation (PBE) on a relaxed structure of La4CdIn2Hg.

a b c (Å): 5.584 5.584 9.666
angles (deg): 73.21 73.21 60.00
Each line ends with the local moment (μB).
Atoms (fractional coordinates):
Hg 0.500 0.500 0.500  0.02
In 0.748 0.748 0.755  0.00
In 0.252 0.252 0.245  0.00
La 0.624 0.624 0.129  0.06
La 0.126 0.126 0.621  0.10
Cd 0.000 0.000 0.000  0.01
La 0.874 0.874 0.379  0.10
La 0.376 0.376 0.871  0.06

Calculated values
- ΔE_f: -0.47 eV/atom
- Symmetry: R-3m, No. 166
- Crystal system: trigonal

***

VASP calculation (PBE) on a relaxed structure of LaCdInHg.

a b c (Å): 5.300 5.300 5.300
angles (deg): 60.00 60.00 60.00
Atoms (fractional coordinates):
La 0.500 0.500 0.500
Cd 0.750 0.750 0.750
In 0.000 0.000 0.000
Hg 0.250 0.250 0.250

Calculated values
- ΔE_f: -0.40 eV/atom
- Symmetry: F-43m, No. 216
- Crystal system: cubic

***

VASP calculation (PBE) on a relaxed structure of Li2CdIn2Hg2.

a b c (Å): 4.994 4.994 7.853
angles (deg): 71.46 71.46 60.00
Atoms (fractional coordinates):
Li 0.866 0.866 0.403
Cd 0.000 0.000 0.000
Hg 0.568 0.568 0.295
In 0.724 0.724 0.829
In 0.276 0.276 0.171
Hg 0.432 0.432 0.705
Li 0.134 0.134 0.597

Calculated values
- ΔE_f: -0.15 eV/atom
- Symmetry: R-3m, No. 166
- Crystal system: trigonal

***

VASP calculation (PBE) on a relaxed structure of LiCd2In2Hg5.

a b c (Å): 3.314 12.214 12.214
angles (deg): 90.00 90.00 90.00
Atoms (fractional coordinates):
Hg 0.500 0.187 0.013
Cd 0.000 0.844 0.344
Hg 0.500 0.687 0.487
In 0.000 0.335 0.835
Hg 0.500 0.813 0.987
In 0.000 0.835 0.665
Hg 0.500 0.000 0.500
Hg 0.500 0.487 0.313
Hg 0.500 0.500 0.000
Hg 0.500 0.013 0.813
In 0.000 0.665 0.165
Cd 0.000 0.156 0.656
Cd 0.000 0.656 0.844
Hg 0.500 0.987 0.187
Hg 0.500 0.313 0.513
Li 0.000 0.000 0.000
Li 0.000 0.500 0.500
Hg 0.500 0.513 0.687
In 0.000 0.165 0.335
Cd 0.000 0.344 0.156

Calculated values
- ΔE_f: -0.06 eV/atom
- Symmetry: P4/mbm, No. 127
- Crystal system: tetragonal